Here is a relaxed structure of LaWF2 from the Alexandria database. Energies are from GGA+U.

Results
**E_tot**: -5.053 eV per atom
**N(E_F)**: 2.0 states/eV/cell
**Energy above the lowest structure with this stoichiometry**: 0.4254 eV/atom

POSCAR file:
```
LaWF2
1.0
2.449 0.000 4.769
-1.224 2.121 4.769
-1.224 -2.121 4.769
F La W
2 1 1
direct
0.177 0.177 0.177
0.823 0.823 0.823
0.000 0.000 0.000
0.500 0.500 0.500
```